DFT (PBE-GGA) results for an optimized crystal structure of NdTl3F6.

The structure belongs to space group P2_1/c (No. 14); the cell edges are 4.065, 7.709 and 14.176 Å and the angles 90.00°, 106.62° and 90.00°. The distinct sites, in fractional coordinates, are Nd at (0.000, 0.000, 0.000), Tl at (0.275, 0.178, 0.775), Tl at (0.500, 0.000, 0.500), F at (0.079, 0.716, 0.079), F at (0.175, 0.030, 0.176) and F at (0.454, 0.647, 0.454).

As for the density of states at the Fermi level: 0.000 states/eV per atom. The total energy is -4.95 eV per atom. The magnetic moment comes out at 0.0 μB per formula unit. The density is 6.80 g cm⁻³.

DFT (PBE-GGA) results for an optimized crystal structure of Nd2TlF.

The structure belongs to space group R-3m (No. 166, hexagonal axes); the cell edges are 3.8462, 3.8462 and 23.4985 Å and the angles 90.00°, 90.00° and 120.00°. The distinct sites, in fractional coordinates, are Nd at (0.0000, 0.0000, 0.2282), Tl at (0.0000, 0.0000, 0.0000) and F at (0.0000, 0.0000, 0.5000).

As for the offset from the most stable computed form: 0.000 eV per atom. As for the density of states at the Fermi level: 0.587 states/eV per atom. The magnetic moment comes out at 0.0 μB per formula unit. The density is 8.47 g cm⁻³.

DFT (PBE-GGA) results for an optimized crystal structure of NdTlF.

The structure belongs to space group I4mm (No. 107); the cell edges are 3.450, 3.450 and 12.266 Å and the angles 90.00°, 90.00° and 90.00°. The distinct sites, in fractional coordinates, are Nd at (0.000, 0.000, 0.000), Tl at (0.000, 0.000, 0.278) and F at (0.000, 0.000, 0.541).

As for the offset from the most stable computed form: 0.193 eV per atom. As for the density of states at the Fermi level: 1.107 states/eV per atom. The magnetic moment comes out at 0.0 μB per formula unit. The density is 8.36 g cm⁻³.

DFT (PBE-GGA) results for an optimized crystal structure of Nd2Tl3F8.

The structure belongs to space group Cmmm (No. 65); the cell edges are 8.104, 14.707 and 4.004 Å and the angles 90.00°, 90.00° and 90.00°. The distinct sites, in fractional coordinates, are Nd at (0.000, 0.246, 0.000), Tl at (0.000, 0.500, 0.000), Tl at (0.194, 0.000, 0.500), F at (0.000, 0.156, 0.500), F at (0.000, 0.336, 0.500) and F at (0.248, 0.340, 0.000).

As for the density of states at the Fermi level: 0.224 states/eV per atom. The total energy is -5.39 eV per atom. The magnetic moment comes out at 0.0 μB per formula unit. The density is 7.33 g cm⁻³.

DFT (PBE-GGA) results for an optimized crystal structure of NdTlF.

The structure belongs to space group Fmmm (No. 69); the cell edges are 6.768, 13.904 and 14.232 Å and the angles 90.00°, 90.00° and 90.00°. The distinct sites, in fractional coordinates, are Nd at (0.000, 0.158, 0.147), Tl at (0.000, 0.112, 0.394), F at (0.000, 0.000, 0.184) and F at (0.000, 0.101, 0.000).

As for the offset from the most stable computed form: 0.118 eV per atom. As for the density of states at the Fermi level: 0.556 states/eV per atom. The magnetic moment comes out at 0.0 μB per formula unit. The density is 7.29 g cm⁻³.

DFT (PBE-GGA) results for an optimized crystal structure of Nd2Tl5F12.

The structure belongs to space group C2/m (No. 12); the cell edges are 14.218, 8.111 and 7.520 Å and the angles 90.00°, 121.29° and 90.00°. The distinct sites, in fractional coordinates, are Nd at (0.000, 0.247, 0.000), Tl at (0.000, 0.000, 0.500), Tl at (0.199, 0.500, 0.854), Tl at (0.225, 0.500, 0.443), F at (0.007, 0.500, 0.182), F at (0.082, 0.000, 0.959), F at (0.102, 0.196, 0.361) and F at (0.186, 0.319, 0.109).

As for the density of states at the Fermi level: 0.440 states/eV per atom. The total energy is -5.01 eV per atom. The magnetic moment comes out at 0.0 μB per formula unit. The density is 6.89 g cm⁻³.